{"formula": "Nd2Y3Bi2Sb2", "functional": "PBE", "state": "optimized geometry", "rho_g_cm3": 7.068, "formation_energy_uncorrected_mev_per_atom": -681, "final_energy_ev_per_cell": -51.1, "lattice": [[-3.511, 2.102, 4.514], [-4.928, -0.678, -3.518], [3.320, -7.889, 2.145]], "species": ["Y", "Bi", "Nd", "Y", "Y", "Bi", "Nd", "Sb", "Sb"], "fractional_positions": [[0.250, 0.750, 0.500], [0.203, 0.203, 0.406], [0.591, 0.591, 0.183], [0.000, 0.000, 0.000], [0.750, 0.250, 0.500], [0.797, 0.797, 0.594], [0.409, 0.409, 0.817], [0.000, 0.500, 0.000], [0.500, 0.000, 0.000]]}

{"formula": "NdSc5Bi6", "functional": "PBE", "state": "optimized geometry", "rho_g_cm3": 7.832, "ef_mev_per_atom": -694.6, "final_energy_ev_per_cell": -68.0, "lattice": [[7.504, 0.211, 0.000], [2.316, 7.123, 0.000], [1.158, 3.562, 6.496]], "species": ["Sc", "Sc", "Bi", "Bi", "Nd", "Sc", "Sc", "Bi", "Bi", "Bi", "Sc", "Bi"], "fractional_positions": [[0.000, 0.669, 0.662], [0.000, 0.331, 0.338], [0.253, 0.264, 0.000], [0.739, 0.087, 0.347], [0.000, 0.000, 0.000], [0.500, 0.159, 0.681], [0.500, 0.500, 0.000], [0.261, 0.913, 0.653], [0.739, 0.434, 0.653], [0.747, 0.736, 0.000], [0.500, 0.841, 0.319], [0.261, 0.566, 0.347]]}

{"formula": "Nd2ScBi3", "functional": "PBE", "state": "optimized geometry", "rho_g_cm3": 8.218, "relative_energy_mev_per_atom": 9, "ef_mev_per_atom": -822.3, "final_energy_ev_per_cell": -32.4, "lattice": [[-3.423, -2.815, -0.780], [0.222, -1.959, 6.099], [-2.760, 7.216, -0.951]], "species": ["Bi", "Sc", "Bi", "Bi", "Nd", "Nd"], "fractional_positions": [[0.346, 0.346, 0.692], [0.000, 0.500, 0.000], [0.000, 0.000, 0.000], [0.654, 0.654, 0.308], [0.671, 0.171, 0.341], [0.329, 0.829, 0.659]]}

{"formula": "NdSc2Bi", "functional": "PBE", "state": "optimized geometry", "rho_g_cm3": 6.416, "relative_energy_mev_per_atom": 437, "ef_mev_per_atom": 115.2, "final_energy_ev_per_cell": -20.9, "lattice": [[3.404, 0.000, 0.000], [1.702, 2.948, 0.000], [1.702, 0.983, 11.428]], "species": ["Sc", "Nd", "Sc", "Bi"], "fractional_positions": [[0.094, 0.094, 0.718], [0.000, 0.000, 0.000], [0.906, 0.906, 0.282], [0.500, 0.500, 0.500]]}

{"formula": "NdSc2Bi", "functional": "PBE", "state": "optimized geometry", "rho_g_cm3": 6.830, "relative_energy_mev_per_atom": 34, "ef_mev_per_atom": -287.5, "final_energy_ev_per_cell": -22.5, "lattice": [[-0.556, 3.312, -1.940], [-3.391, -1.342, -1.320], [-3.322, 2.782, 5.702]], "species": ["Nd", "Bi", "Sc", "Sc"], "fractional_positions": [[0.500, 0.500, 0.000], [0.500, 0.500, 0.500], [0.000, 0.000, 0.280], [0.000, 0.000, 0.720]]}

{"formula": "Nd3ScBi4", "functional": "PBE", "state": "optimized geometry", "rho_g_cm3": 8.284, "ef_mev_per_atom": -852.6, "final_energy_ev_per_cell": -43.0, "lattice": [[-2.626, -2.404, 2.811], [4.152, -6.454, -1.642], [3.203, 3.686, 6.144]], "species": ["Bi", "Nd", "Bi", "Sc", "Bi", "Bi", "Nd", "Nd"], "fractional_positions": [[0.000, 0.765, 0.765], [0.000, 0.500, 0.000], [0.500, 0.242, 0.758], [0.500, 0.000, 0.000], [0.500, 0.758, 0.242], [0.000, 0.235, 0.235], [0.500, 0.500, 0.500], [0.000, 0.000, 0.500]]}

{"formula": "NdSc2Bi", "functional": "PBE", "state": "optimized geometry", "rho_g_cm3": 6.984, "relative_energy_mev_per_atom": 0, "ef_mev_per_atom": -322.0, "final_energy_ev_per_cell": -22.6, "lattice": [[-3.431, 1.919, 2.408], [-3.193, -2.245, -2.760], [0.024, -3.722, 3.000]], "species": ["Nd", "Sc", "Sc", "Bi"], "fractional_positions": [[0.500, 0.500, 0.500], [0.000, 0.000, 0.500], [0.000, 0.500, 0.000], [0.500, 0.000, 0.000]]}

{"formula": "Nd5ScBi4", "functional": "PBE", "state": "optimized geometry", "rho_g_cm3": 7.445, "ef_mev_per_atom": -520.9, "final_energy_ev_per_cell": -50.9, "lattice": [[-0.326, -3.752, 2.356], [-2.446, -4.252, -7.110], [9.806, 1.198, -0.925]], "species": ["Nd", "Nd", "Bi", "Nd", "Sc", "Nd", "Bi", "Nd", "Bi", "Bi"], "fractional_positions": [[0.177, 0.353, 0.353], [0.167, 0.815, 0.334], [0.338, 0.921, 0.675], [0.823, 0.647, 0.647], [0.500, 0.000, 0.000], [0.833, 0.185, 0.666], [0.006, 0.240, 0.011], [0.500, 0.500, 0.000], [0.662, 0.079, 0.325], [0.994, 0.760, 0.989]]}

{"formula": "Nd2ScBi3", "functional": "PBE", "state": "optimized geometry", "rho_g_cm3": 8.241, "relative_energy_mev_per_atom": 0, "ef_mev_per_atom": -830.8, "final_energy_ev_per_cell": -65.0, "lattice": [[-2.046, 7.299, -1.862], [1.314, -5.248, -5.627], [-6.829, -2.631, 2.672]], "species": ["Bi", "Nd", "Bi", "Sc", "Bi", "Nd", "Nd", "Bi", "Nd", "Sc", "Bi", "Bi"], "fractional_positions": [[0.254, 0.242, 0.763], [0.833, 0.167, 0.500], [0.758, 0.746, 0.237], [0.002, 0.998, 0.000], [0.412, 0.092, 0.237], [0.495, 0.505, 0.500], [0.333, 0.667, 0.000], [0.603, 0.937, 0.770], [0.172, 0.828, 0.500], [0.665, 0.335, 0.000], [0.908, 0.588, 0.763], [0.063, 0.397, 0.230]]}

{"formula": "Nd3ScBi2", "functional": "PBE", "state": "optimized geometry", "rho_g_cm3": 7.957, "ef_mev_per_atom": -640.6, "final_energy_ev_per_cell": -32.2, "lattice": [[4.599, 0.000, 0.000], [0.000, 4.599, 0.000], [0.000, 0.000, 8.836]], "species": ["Nd", "Nd", "Bi", "Sc", "Nd", "Bi"], "fractional_positions": [[0.000, 0.500, 0.650], [0.000, 0.000, 0.000], [0.500, 0.000, 0.726], [0.500, 0.500, 0.000], [0.500, 0.000, 0.350], [0.000, 0.500, 0.274]]}

{"formula": "Nd5ScBi6", "functional": "PBE", "state": "optimized geometry", "rho_g_cm3": 8.347, "ef_mev_per_atom": -883.6, "final_energy_ev_per_cell": -64.1, "lattice": [[7.898, 0.222, 0.000], [2.436, 7.505, 0.000], [1.218, 3.753, 6.842]], "species": ["Nd", "Sc", "Nd", "Bi", "Bi", "Bi", "Bi", "Nd", "Bi", "Nd", "Bi", "Nd"], "fractional_positions": [[0.500, 0.172, 0.657], [0.000, 0.000, 0.000], [0.000, 0.335, 0.330], [0.246, 0.238, 0.000], [0.759, 0.401, 0.678], [0.759, 0.080, 0.322], [0.754, 0.762, 0.000], [0.000, 0.665, 0.670], [0.241, 0.599, 0.322], [0.500, 0.500, 0.000], [0.241, 0.920, 0.678], [0.500, 0.828, 0.343]]}

{"formula": "NdSc3Bi4", "functional": "PBE", "state": "optimized geometry", "rho_g_cm3": 7.893, "ef_mev_per_atom": -710.2, "final_energy_ev_per_cell": -45.0, "lattice": [[-1.019, -2.497, 3.430], [7.220, -2.135, 0.591], [3.673, 4.768, 4.562]], "species": ["Bi", "Bi", "Bi", "Sc", "Sc", "Nd", "Sc", "Bi"], "fractional_positions": [[0.000, 0.766, 0.734], [0.500, 0.242, 0.742], [0.500, 0.758, 0.258], [0.000, 0.500, 0.500], [0.000, 0.000, 0.000], [0.500, 0.500, 0.000], [0.500, 0.000, 0.500], [0.000, 0.234, 0.266]]}